w:
Density functional theory data (PBE) for CeTlPb2 after structural relaxation. Values from VASP.

```
&SYSTEM
  ibrav = 0, nat = 4, ntyp = 3
/
ATOMIC_SPECIES
Tl 204.38 Tl.upf
Ce 140.12 Ce.upf
Pb 207.20 Pb.upf
ATOMIC_POSITIONS crystal
Tl 0.5000 0.5000 0.5000
Ce 0.0000 0.0000 0.0000
Pb 0.2500 0.2500 0.2500
Pb 0.7500 0.7500 0.7500
CELL_PARAMETERS angstrom
-4.0385 0.3219 3.8608
-4.5414 -3.2427 -0.4240
-0.7739 -4.2159 3.5980
```

Output
- density of states at the Fermi level (states/eV/atom) = 1.957
- mass density (g cm⁻³) = 10.17

x:
Density functional theory data (PBE) for CeTlPb2 after structural relaxation. Values from VASP.

```
&SYSTEM
  ibrav = 0, nat = 4, ntyp = 3
/
ATOMIC_SPECIES
Pb 207.20 Pb.upf
Ce 140.12 Ce.upf
Tl 204.38 Tl.upf
ATOMIC_POSITIONS crystal
Pb 0.0000 0.0000 0.5000
Pb 0.0000 0.5000 0.0000
Ce 0.5000 0.5000 0.5000
Tl 0.5000 0.0000 0.0000
CELL_PARAMETERS angstrom
-2.7898 -0.2961 -3.9794
1.0589 -4.7406 -0.3896
-3.8508 -1.0887 2.7806
```

Output
- density of states at the Fermi level (states/eV/atom) = 1.353
- mass density (g cm⁻³) = 10.90

y:
Density functional theory data (PBE) for CeTlPb2 after structural relaxation. Values from VASP.

```
&SYSTEM
  ibrav = 0, nat = 4, ntyp = 3
/
ATOMIC_SPECIES
Tl 204.38 Tl.upf
Pb 207.20 Pb.upf
Ce 140.12 Ce.upf
ATOMIC_POSITIONS crystal
Tl 0.5000 0.5000 0.5000
Pb 0.0000 0.0000 0.7588
Pb 0.0000 0.0000 0.2412
Ce 0.5000 0.5000 0.0000
CELL_PARAMETERS angstrom
-1.4297 3.9392 -0.8076
-2.9207 -0.4281 3.0823
4.3690 2.5058 4.4880
```

Output
- density of states at the Fermi level (states/eV/atom) = 2.253
- mass density (g cm⁻³) = 10.26

Stability summary - winner: x; margin: 18.1 kJ/mol of atoms.

w:
Density functional theory data (PBE) for Ce4TlPb5 after structural relaxation. Values from VASP.

```
&SYSTEM
  ibrav = 0, nat = 10, ntyp = 3
/
ATOMIC_SPECIES
Ce 140.12 Ce.upf
Tl 204.38 Tl.upf
Pb 207.20 Pb.upf
ATOMIC_POSITIONS crystal
Ce 0.3093 0.6797 0.6186
Ce 0.9064 0.1703 0.8129
Ce 0.6907 0.3203 0.3814
Ce 0.0936 0.8297 0.1871
Tl 0.5000 0.0000 0.0000
Pb 0.1112 0.3495 0.2224
Pb 0.2981 0.1793 0.5961
Pb 0.7019 0.8207 0.4039
Pb 0.8888 0.6505 0.7776
Pb 0.5000 0.5000 0.0000
CELL_PARAMETERS angstrom
-5.5065 -1.2873 1.6753
0.7179 -6.1830 -2.3914
5.2383 -0.6304 6.3513
```

Output
- density of states at the Fermi level (states/eV/atom) = 2.723
- mass density (g cm⁻³) = 9.97

x:
Density functional theory data (PBE) for Ce4TlPb5 after structural relaxation. Values from VASP.

```
&SYSTEM
  ibrav = 0, nat = 20, ntyp = 3
/
ATOMIC_SPECIES
Ce 140.12 Ce.upf
Pb 207.20 Pb.upf
Tl 204.38 Tl.upf
ATOMIC_POSITIONS crystal
Ce 0.5018 0.3207 0.5000
Ce 0.8425 0.5000 0.7720
Ce 0.4982 0.8207 0.0000
Ce 0.5018 0.6793 0.5000
Ce 0.1575 0.0000 0.2720
Ce 0.4982 0.1793 0.0000
Ce 0.1575 0.0000 0.7280
Ce 0.8425 0.5000 0.2280
Pb 0.1749 0.7013 0.2128
Pb 0.1749 0.2987 0.2128
Pb 0.5055 0.0000 0.5000
Pb 0.1749 0.2987 0.7872
Pb 0.1749 0.7013 0.7872
Pb 0.4945 0.5000 0.0000
Pb 0.8251 0.7987 0.2872
Pb 0.8251 0.2013 0.7128
Pb 0.8251 0.7987 0.7128
Pb 0.8251 0.2013 0.2872
Tl 0.1741 0.5000 0.5000
Tl 0.8259 0.0000 0.0000
CELL_PARAMETERS angstrom
8.2000 0.0000 0.0000
0.0000 11.1115 0.0000
0.0000 0.0000 7.1523
```

Output
- density of states at the Fermi level (states/eV/atom) = 2.817
- mass density (g cm⁻³) = 9.18

Stability summary - winner: w; margin: 29.0 kJ/mol of atoms.

w:
Density functional theory data (PBE) for CeTlPb4 after structural relaxation. Values from VASP.

```
&SYSTEM
  ibrav = 0, nat = 6, ntyp = 3
/
ATOMIC_SPECIES
Pb 207.20 Pb.upf
Ce 140.12 Ce.upf
Tl 204.38 Tl.upf
ATOMIC_POSITIONS crystal
Pb 0.6244 0.6244 0.1268
Pb 0.1268 0.6244 0.6244
Pb 0.6244 0.1268 0.6244
Pb 0.6244 0.6244 0.6244
Ce 0.2500 0.2500 0.2500
Tl 0.0000 0.0000 0.0000
CELL_PARAMETERS angstrom
6.5242 0.0000 0.0000
3.2621 5.6501 0.0000
3.2621 1.8834 5.3270
```

Output
- density of states at the Fermi level (states/eV/atom) = 1.676
- mass density (g cm⁻³) = 9.92

x:
Density functional theory data (PBE) for CeTlPb4 after structural relaxation. Values from VASP.

```
&SYSTEM
  ibrav = 0, nat = 12, ntyp = 3
/
ATOMIC_SPECIES
Pb 207.20 Pb.upf
Tl 204.38 Tl.upf
Ce 140.12 Ce.upf
ATOMIC_POSITIONS crystal
Pb 0.5000 0.2500 0.0474
Pb 0.0000 0.0000 0.0000
Pb 0.5000 0.5187 0.3052
Pb 0.5000 0.9813 0.3052
Pb 0.0000 0.5000 0.0000
Pb 0.5000 0.4813 0.6948
Pb 0.5000 0.0187 0.6948
Pb 0.5000 0.7500 0.9526
Tl 0.0000 0.7500 0.6667
Tl 0.0000 0.2500 0.3333
Ce 0.0000 0.7500 0.2577
Ce 0.0000 0.2500 0.7423
CELL_PARAMETERS angstrom
-4.0730 -0.7508 2.3602
-1.0631 -8.8741 -4.6576
4.1476 -3.6450 5.9981
```

Output
- density of states at the Fermi level (states/eV/atom) = 1.412
- mass density (g cm⁻³) = 9.95

Stability summary - winner: w; margin: 0.6 kJ/mol of atoms.

w:
Density functional theory data (PBE) for CeYTlPb after structural relaxation. Values from VASP.

```
&SYSTEM
  ibrav = 0, nat = 4, ntyp = 4
/
ATOMIC_SPECIES
Tl 204.38 Tl.upf
Ce 140.12 Ce.upf
Y 88.91 Y.upf
Pb 207.20 Pb.upf
ATOMIC_POSITIONS crystal
Tl 0.7500 0.2499 0.5000
Ce 0.5000 0.5000 0.0000
Y 0.0000 0.0000 0.0000
Pb 0.2500 0.7501 0.5000
CELL_PARAMETERS angstrom
5.0743 0.0000 0.0000
0.0000 5.0745 -0.0002
-2.5372 -2.5376 4.4606
```

Output
- density of states at the Fermi level (states/eV/atom) = 2.117
- mass density (g cm⁻³) = 9.26

x:
Density functional theory data (PBE) for CeYTlPb after structural relaxation. Values from VASP.

```
&SYSTEM
  ibrav = 0, nat = 4, ntyp = 4
/
ATOMIC_SPECIES
Y 88.91 Y.upf
Ce 140.12 Ce.upf
Tl 204.38 Tl.upf
Pb 207.20 Pb.upf
ATOMIC_POSITIONS crystal
Y 0.0000 0.0000 0.0000
Ce 0.5000 0.5000 0.5000
Tl 0.2500 0.2500 0.2500
Pb 0.7500 0.7500 0.7500
CELL_PARAMETERS angstrom
-4.5576 2.6242 -1.5246
-4.7698 -1.1622 2.4251
-2.3184 3.6425 3.3674
```

Output
- density of states at the Fermi level (states/eV/atom) = 2.241
- mass density (g cm⁻³) = 9.16

Stability summary - winner: w; margin: 2.5 kJ/mol of atoms.

w:
Density functional theory data (PBE) for Ce2Tm3Pb3 after structural relaxation. Values from VASP.

```
&SYSTEM
  ibrav = 0, nat = 8, ntyp = 3
/
ATOMIC_SPECIES
Pb 207.20 Pb.upf
Tm 168.93 Tm.upf
Ce 140.12 Ce.upf
ATOMIC_POSITIONS crystal
Pb 0.1327 0.1327 0.2654
Pb 0.8673 0.8673 0.7346
Pb 0.0000 0.5000 0.0000
Tm 0.5000 0.0000 0.0000
Tm 0.3813 0.3813 0.7626
Tm 0.6187 0.6187 0.2374
Ce 0.2520 0.7520 0.5040
Ce 0.7480 0.2480 0.4960
CELL_PARAMETERS angstrom
-0.1492 0.1260 -4.3727
-0.3043 -4.6757 -0.1244
-10.7061 2.9759 2.6417
```

Output
- density of states at the Fermi level (states/eV/atom) = 1.599
- mass density (g cm⁻³) = 10.40

x:
Density functional theory data (PBE) for Ce2Tm3Pb3 after structural relaxation. Values from VASP.

```
&SYSTEM
  ibrav = 0, nat = 16, ntyp = 3
/
ATOMIC_SPECIES
Ce 140.12 Ce.upf
Pb 207.20 Pb.upf
Tm 168.93 Tm.upf
ATOMIC_POSITIONS crystal
Ce 0.0000 0.3333 0.6667
Ce 0.0000 0.6667 0.3333
Ce 0.5000 0.3333 0.6667
Ce 0.5000 0.6667 0.3333
Pb 0.7500 0.0000 0.6152
Pb 0.2500 0.0000 0.3848
Pb 0.2500 0.3848 0.0000
Pb 0.7500 0.3848 0.3848
Pb 0.7500 0.6152 0.0000
Pb 0.2500 0.6152 0.6152
Tm 0.7500 0.2359 0.0000
Tm 0.7500 0.7641 0.7641
Tm 0.2500 0.7641 0.0000
Tm 0.7500 0.0000 0.2359
Tm 0.2500 0.2359 0.2359
Tm 0.2500 0.0000 0.7641
CELL_PARAMETERS angstrom
6.3812 0.0000 0.0000
0.0000 8.0010 -4.6194
0.0000 0.0000 9.2388
```

Output
- density of states at the Fermi level (states/eV/atom) = 1.684
- mass density (g cm⁻³) = 9.92

Stability summary - winner: x; margin: 10.6 kJ/mol of atoms.

w:
Density functional theory data (PBE) for Ce5TmPb6 after structural relaxation. Values from VASP.

```
&SYSTEM
  ibrav = 0, nat = 12, ntyp = 3
/
ATOMIC_SPECIES
Ce 140.12 Ce.upf
Tm 168.93 Tm.upf
Pb 207.20 Pb.upf
ATOMIC_POSITIONS crystal
Ce 0.5000 0.5000 0.0000
Ce 0.0000 0.3338 0.3323
Ce 0.5000 0.1674 0.6651
Ce 0.0000 0.6662 0.6677
Ce 0.5000 0.8326 0.3349
Tm 0.0000 0.0000 0.0000
Pb 0.2483 0.5850 0.3326
Pb 0.7517 0.0825 0.3326
Pb 0.7517 0.4150 0.6674
Pb 0.2504 0.2486 0.0000
Pb 0.7496 0.7514 0.0000
Pb 0.2483 0.9175 0.6674
CELL_PARAMETERS angstrom
7.8392 0.2130 0.0000
2.4119 7.4541 0.0000
1.2060 3.7271 6.7896
```

Output
- density of states at the Fermi level (states/eV/atom) = 1.364
- mass density (g cm⁻³) = 8.92

x:
Density functional theory data (PBE) for Ce5TmPb6 after structural relaxation. Values from VASP.

```
&SYSTEM
  ibrav = 0, nat = 12, ntyp = 3
/
ATOMIC_SPECIES
Ce 140.12 Ce.upf
Pb 207.20 Pb.upf
Tm 168.93 Tm.upf
ATOMIC_POSITIONS crystal
Ce 0.3323 0.3323 0.6646
Ce 0.6677 0.6677 0.3354
Ce 0.3347 0.8347 0.6694
Ce 0.6653 0.1653 0.3306
Ce 0.0000 0.5000 0.0000
Pb 0.1650 0.4128 0.3301
Pb 0.1651 0.9173 0.3301
Pb 0.4999 0.2463 0.0000
Pb 0.8349 0.0827 0.6699
Pb 0.8350 0.5872 0.6699
Pb 0.5001 0.7537 0.0000
Tm 0.0000 0.0000 0.0000
CELL_PARAMETERS angstrom
5.6382 0.5506 -1.7026
-1.4127 5.9518 -2.7645
-0.1876 0.7712 9.9096
```

Output
- density of states at the Fermi level (states/eV/atom) = 2.635
- mass density (g cm⁻³) = 9.95

Stability summary - winner: x; margin: 9.4 kJ/mol of atoms.